Entry 1:
# InIrSe2

A geometry-optimized InIrSe2 structure (PBE, Alexandria).

Unit cell a=6.7176 b=3.8734 c=7.3337 alpha=90.00 beta=107.52 gamma=90.00
Last column: nearest neighbours and their distance in Å.
Space group C2/m (No. 12)
One atom of each set of equivalent atoms:
1 In 0.0000 0.0000 0.0000 x2  6 Se 3.19-3.20
2 Ir 0.0000 0.5000 0.5000 x2  6 Se 2.54-2.55
3 Se 0.2237 0.0000 0.6733 x4  3 Ir 2.54-2.55


Entry 2:
# SiSbW2

A geometry-optimized SiSbW2 structure (PBE, Alexandria).

Properties
Distance to the lowest polymorph of the same formula in meV per atom: 323

Unit cell a=6.4081 b=6.4081 c=6.4081 alpha=90.00 beta=90.00 gamma=90.00
Last column: nearest neighbours and their distance in Å.
Space group Fm-3m (No. 225)
One atom of each set of equivalent atoms:
1 Si 0.0000 0.0000 0.0000 x4  8 W 2.77
2 Sb 0.0000 0.0000 0.5000 x4  8 W 2.77
3 W 0.2500 0.2500 0.2500 x8  4 Sb 2.77, 4 Si 2.77


Number 1: raw formation energy -0.210 eV/atom, size of the total moment 0.00 μB per cell, DFT total energy -4.852 eV per atom. Number 2: raw formation energy 0.490 eV/atom, size of the total moment 0.00 μB per cell, DFT total energy -8.373 eV per atom.